{"formula": "NbSnBr2", "functional": "GGA-PBE", "state": "optimized geometry", "space_group": "I-42d", "polymorph_energy_ev_per_atom": 0.321, "final_energy_ev_per_atom": -4.331, "volume_a3_per_atom": 30.106, "lattice_angstrom": [[9.2169, 0.0000, 0.0000], [0.0000, 9.2169, 0.0000], [4.6085, 4.6085, 2.8351]], "species": ["Nb", "Nb", "Sn", "Sn", "Br", "Br", "Br", "Br"], "fractional_positions": [[0.5000, 0.5000, 0.0000], [0.2500, 0.7500, 0.5000], [0.0000, 0.0000, 0.0000], [0.7500, 0.2500, 0.5000], [0.4969, 0.1250, 0.2500], [0.2531, 0.6250, 0.2500], [0.3750, 0.5031, 0.7500], [0.8750, 0.7469, 0.7500]]}